# K2Os3WO12

A geometry-optimized K2Os3WO12 structure (PBE+U, Alexandria via LeMat-Bulk).

Results
mass density: 6.26 g/cm³
E_tot: -7.090 eV per atom
DOS(E_F): 6.11 states/eV/cell

```
18
Lattice="-2.696 3.034 -6.108 2.587 -1.849 -6.608 -4.056 -3.906 -4.698" Properties=species:S:1:pos:R:3 pbc="T T T"
K -2.624 -1.714 -10.972
O 1.283 -1.319 -5.258
O -1.398 -0.148 -13.321
Os 1.293 -0.925 -3.304
K -1.541 -1.007 -6.442
O -1.207 -3.767 -8.255
W 0.000 0.000 0.000
O -1.937 1.658 -4.953
O -0.362 0.544 -9.130
O -2.227 -4.378 -12.461
O -2.958 1.047 -9.159
Os -2.028 -1.953 -2.349
O 0.324 -1.987 -9.470
O -3.803 -3.265 -8.284
O -4.489 -0.734 -7.944
O -5.447 -1.402 -12.156
O -2.766 -2.573 -4.093
Os -1.348 1.517 -3.054
```